VASP calculation (PBE) on a geometry-optimized PrRe6 structure.

a b c (Å): 5.9836 5.9836 5.9836
angles (deg): 109.47 109.47 109.47
Sites, in units of the cell vectors:
Pr (0.0000, 0.0000, 0.0000)
Re (0.2500, 0.7500, 0.5000)
Re (0.5000, 0.7500, 0.2500)
Re (0.2500, 0.5000, 0.7500)
Re (0.7500, 0.2500, 0.5000)
Re (0.5000, 0.2500, 0.7500)
Re (0.7500, 0.5000, 0.2500)

Values from the calculation:
N(E_F), states/eV/cell: 6.2
SG: Im-3m
Formation energy, kcal/mol of atoms: 22.37